(1)
A relaxed Pa2Re2Si2B crystal. Source: the Alexandria database, functional PBE-GGA.

Results
The calculation puts the uncorrected formation energy at -501 meV per atom. The calculation puts the spin magnetization at 0.000 μB/f.u. As for the theoretical density: 12.30 g/cm³. The calculation puts the density of states at the Fermi level at 0.8664 states/eV/atom.

a = 4.2385 Å, b = 5.8604 Å, c = 5.8470 Å
α = 68.82°, β = 68.75°, γ = 68.80°
Sites, in units of the cell vectors:
Pa: 0.5703 0.1561 0.7033
Pa: 0.4297 0.8439 0.2967
Re: 0.2223 0.6777 0.8777
Re: 0.7777 0.3223 0.1223
Si: 0.1400 0.4016 0.3183
Si: 0.8600 0.5984 0.6817
B: 0.0000 0.0000 0.0000

(2)
A relaxed Pa2BRh crystal. Source: the Alexandria database, functional PBE-GGA.

Results
The calculation puts the spin magnetization at 0.000 μB/f.u. As for the theoretical density: 11.96 g/cm³. The value obtained for the total energy is -33.0 eV per cell. The calculation puts the density of states at the Fermi level at 1.0706 states/eV/atom.

a = 3.3566 Å, b = 3.3566 Å, c = 8.4184 Å
α = 78.50°, β = 78.50°, γ = 60.00°
Sites, in units of the cell vectors:
B: 0.5000 0.5000 0.5000
Pa: 0.1030 0.1030 0.6909
Pa: 0.8970 0.8970 0.3091
Rh: 0.0000 0.0000 0.0000